Record 1
First-principles (PBEsol) data for SnPdC3 after structural relaxation, as listed in the Alexandria database.

```
data_SnPdC3
_cell_length_a 4.0383
_cell_length_b 4.0383
_cell_length_c 4.0383
_cell_angle_alpha 90.00
_cell_angle_beta 90.00
_cell_angle_gamma 90.00
_space_group_name_H-M_alt 'P m -3 m'
_space_group_IT_number 221
_space_group_name_Hall '-P 4 2 3'
loop_
_atom_site_label
_atom_site_fract_x
_atom_site_fract_y
_atom_site_fract_z
Sn1 0.0000 0.0000 0.0000
Pd1 0.5000 0.5000 0.5000
C1 0.0000 0.5000 0.5000
```

Summary:
E above lowest polymorph: 0.0 kJ/mol of atoms
magnetization: 0.002 μB per formula unit

Record 2
First-principles (PBEsol) data for Bi12RuO20 after structural relaxation, as listed in the Alexandria database.

```
data_Bi12RuO20
_cell_length_a 10.1300
_cell_length_b 10.1300
_cell_length_c 10.1300
_cell_angle_alpha 90.00
_cell_angle_beta 90.00
_cell_angle_gamma 90.00
_space_group_name_H-M_alt 'I 2 3'
_space_group_IT_number 197
_space_group_name_Hall 'I 2 2 3'
loop_
_atom_site_label
_atom_site_fract_x
_atom_site_fract_y
_atom_site_fract_z
Bi1 0.0150 0.3217 0.8257
Ru1 0.0000 0.0000 0.0000
O1 0.0087 0.2470 0.3683
O2 0.1067 0.1067 0.1067
O3 0.1939 0.1939 0.8061
```

Summary:
formation energy (no corrections): -1.163 eV/atom
magnetization: 0.001 μB per formula unit

Record 3
First-principles (PBEsol) data for Hf3NiB after structural relaxation, as listed in the Alexandria database.

```
data_Hf3NiB
_cell_length_a 4.6335
_cell_length_b 4.6335
_cell_length_c 4.6335
_cell_angle_alpha 90.00
_cell_angle_beta 90.00
_cell_angle_gamma 90.00
_space_group_name_H-M_alt 'P m -3 m'
_space_group_IT_number 221
_space_group_name_Hall '-P 4 2 3'
loop_
_atom_site_label
_atom_site_fract_x
_atom_site_fract_y
_atom_site_fract_z
Hf1 0.0000 0.0000 0.5000
Ni1 0.0000 0.0000 0.0000
B1 0.5000 0.5000 0.5000
```

Summary:
E_tot: -8.053 eV/atom
magnetization: 0.000 μB per formula unit

Record 4
First-principles (PBEsol) data for LaFeSb3 after structural relaxation, as listed in the Alexandria database.

```
data_LaFeSb3
_cell_length_a 5.0254
_cell_length_b 5.0254
_cell_length_c 5.0254
_cell_angle_alpha 90.00
_cell_angle_beta 90.00
_cell_angle_gamma 90.00
_space_group_name_H-M_alt 'P m -3 m'
_space_group_IT_number 221
_space_group_name_Hall '-P 4 2 3'
loop_
_atom_site_label
_atom_site_fract_x
_atom_site_fract_y
_atom_site_fract_z
La1 0.0000 0.0000 0.0000
Fe1 0.5000 0.5000 0.5000
Sb1 0.0000 0.5000 0.5000
```

Summary:
formation energy (no corrections): -0.178 eV/atom
magnetization: 2.510 μB per formula unit

Record 5
First-principles (PBEsol) data for AsPtCSe2 after structural relaxation, as listed in the Alexandria database.

```
data_AsPtCSe2
_cell_length_a 5.0248
_cell_length_b 5.0248
_cell_length_c 4.6190
_cell_angle_alpha 90.00
_cell_angle_beta 90.00
_cell_angle_gamma 90.00
_space_group_name_H-M_alt 'P 4/m m m'
_space_group_IT_number 123
_space_group_name_Hall '-P 4 2'
loop_
_atom_site_label
_atom_site_fract_x
_atom_site_fract_y
_atom_site_fract_z
As1 0.0000 0.0000 0.0000
Pt1 0.0000 0.0000 0.5000
C1 0.5000 0.5000 0.0000
Se1 0.0000 0.5000 0.5000
```

Summary:
formation energy (no corrections): 1.882 eV/atom
magnetization: 0.571 μB per formula unit

Record 6
First-principles (PBEsol) data for K2AsAu after structural relaxation, as listed in the Alexandria database.

```
data_K2AsAu
_cell_length_a 7.2441
_cell_length_b 7.2441
_cell_length_c 7.2441
_cell_angle_alpha 90.00
_cell_angle_beta 90.00
_cell_angle_gamma 90.00
_space_group_name_H-M_alt 'F -4 3 m'
_space_group_IT_number 216
_space_group_name_Hall 'F -4 2 3'
loop_
_atom_site_label
_atom_site_fract_x
_atom_site_fract_y
_atom_site_fract_z
K1 0.0000 0.0000 0.0000
K2 0.2500 0.2500 0.2500
As1 0.2500 0.2500 0.7500
Au1 0.0000 0.0000 0.5000
```

Summary:
E_tot: -2.953 eV/atom
magnetization: 0.000 μB per formula unit